This record from Alexandria via LeMat-Bulk describes a geometry-optimized SrDyNi4O12 structure. The functional is PBE with a Hubbard U.

The value obtained for the total energy is -179.384 eV for the cell shown. The calculation puts the total magnetization at 21.3 Bohr magnetons per cell.

The structure belongs to space group Cmmm (No. 65); the cell edges are 7.578, 7.589 and 7.599 Å and the angles 90.00°, 90.00° and 90.00°. Symmetry generates all atoms from Sr at (0.000, 0.000, 0.000), Dy at (0.000, 0.500, 0.500), Ni at (0.250, 0.250, 0.250), O at (0.000, 0.264, 0.270), O at (0.237, 0.500, 0.270), O at (0.250, 0.250, 0.000) and O at (0.250, 0.250, 0.500).